TbNd7Sm12: optimized geometry, PBE-GGA.

a b c (Å): 8.8963 8.8963 8.8963
angles (deg): 86.86 86.86 86.86
Closest atoms and distances in Å follow each position.
Atoms (fractional coordinates):
Tb 0.0000 0.0000 0.0000  6 Sm 3.48
Nd 0.9232 0.8480 0.6037  3 Nd 3.49-3.54, 7 Sm 3.58-3.85
Nd 0.0768 0.1520 0.3963  3 Nd 3.49-3.54, 7 Sm 3.58-3.85
Nd 0.6037 0.9232 0.8480  3 Nd 3.49-3.54, 7 Sm 3.58-3.85
Nd 0.5000 0.5000 0.5000  6 Sm 3.36
Nd 0.3963 0.0768 0.1520  3 Nd 3.49-3.54, 7 Sm 3.58-3.85
Nd 0.1520 0.3963 0.0768  3 Nd 3.49-3.54, 7 Sm 3.58-3.85
Nd 0.8480 0.6037 0.9232  3 Nd 3.49-3.54, 7 Sm 3.58-3.85
Sm 0.5060 0.3829 0.8658  4 Sm 3.25-3.45, 2 Nd 3.36-3.58
Sm 0.4940 0.6171 0.1342  4 Sm 3.25-3.45, 2 Nd 3.36-3.58
Sm 0.7471 0.2742 0.1467  3 Sm 3.28-3.45, 1 Tb 3.48, 2 Nd 3.58-3.66
Sm 0.1342 0.4940 0.6171  4 Sm 3.25-3.45, 2 Nd 3.36-3.58
Sm 0.3829 0.8658 0.5060  4 Sm 3.25-3.45, 2 Nd 3.36-3.58
Sm 0.8533 0.2529 0.7258  3 Sm 3.28-3.45, 1 Tb 3.48, 2 Nd 3.58-3.66
Sm 0.6171 0.1342 0.4940  4 Sm 3.25-3.45, 2 Nd 3.36-3.58
Sm 0.2742 0.1467 0.7471  3 Sm 3.28-3.45, 1 Tb 3.48, 2 Nd 3.58-3.66
Sm 0.1467 0.7471 0.2742  3 Sm 3.28-3.45, 1 Tb 3.48, 2 Nd 3.58-3.66
Sm 0.8658 0.5060 0.3829  4 Sm 3.25-3.45, 2 Nd 3.36-3.58
Sm 0.2529 0.7258 0.8533  3 Sm 3.28-3.45, 1 Tb 3.48, 2 Nd 3.58-3.66
Sm 0.7258 0.8533 0.2529  3 Sm 3.28-3.45, 1 Tb 3.48, 2 Nd 3.58-3.66

Summary:
energy relative to the elements = 4.46 eV/f.u.
total magnetic moment = 0.0000 μB/atom
energy above the lowest structure with this stoichiometry = 0.00 eV per formula unit
crystal system = trigonal


Be2SiRh2: optimized geometry, PBE-GGA.

a b c (Å): 5.6074 5.6074 4.2775
angles (deg): 48.45 48.45 38.20
Closest atoms and distances in Å follow each position.
Atoms (fractional coordinates):
Be 0.4017 0.4017 0.4937  1 Be 2.12, 4 Rh 2.27-2.35
Be 0.5983 0.5983 0.5063  1 Be 2.12, 4 Rh 2.27-2.35
Si 0.0000 0.0000 0.0000  4 Be 2.41, 6 Rh 2.54-2.58
Rh 0.7083 0.7083 0.8222  5 Be 2.27-2.39
Rh 0.2917 0.2917 0.1778  5 Be 2.27-2.39

Summary:
total magnetic moment = 0.0000 μB/atom
energy above the lowest structure with this stoichiometry = 0.23 eV per formula unit
crystal system = monoclinic
formation energy (no corrections) = -46 kJ per mole of atoms


CePm5Tl3: optimized geometry, PBE-GGA.

a b c (Å): 6.8398 9.6088 9.6087
angles (deg): 120.00 90.00 90.00
Closest atoms and distances in Å follow each position.
Atoms (fractional coordinates):
Pm 0.7500 0.3266 0.0000  5 Tl 3.20-3.42, 2 Ce 3.57
Pm 0.5000 0.3333 0.6666  8 Pm 3.42-3.66, 6 Tl 3.61
Pm 0.2500 0.3266 0.3266  5 Tl 3.20-3.42, 2 Ce 3.57
Pm 0.5000 0.6667 0.3334  8 Pm 3.42-3.66, 6 Tl 3.61
Pm 0.2500 0.0000 0.6734  5 Tl 3.20-3.42, 2 Ce 3.57
Pm 0.2500 0.6734 0.0000  5 Tl 3.20-3.42, 2 Ce 3.57
Pm 0.7500 0.0000 0.3266  5 Tl 3.20-3.42, 2 Ce 3.57
Pm 0.0000 0.3333 0.6666  8 Pm 3.42-3.66, 6 Tl 3.61
Pm 0.0000 0.6667 0.3334  8 Pm 3.42-3.66, 6 Tl 3.61
Pm 0.7500 0.6734 0.6734  5 Tl 3.20-3.42, 2 Ce 3.57
Tl 0.2500 0.3386 0.0000  5 Pm 3.20-3.42
Tl 0.7500 0.0000 0.6614  5 Pm 3.20-3.42
Tl 0.7500 0.6614 0.0000  5 Pm 3.20-3.42
Tl 0.2500 0.0000 0.3386  5 Pm 3.20-3.42
Tl 0.7500 0.3386 0.3386  5 Pm 3.20-3.42
Tl 0.2500 0.6614 0.6614  5 Pm 3.20-3.42
Ce 0.5000 0.0000 0.0000  2 Ce 3.42, 6 Pm 3.57, 6 Tl 3.68
Ce 0.0000 0.0000 0.0000  2 Ce 3.42, 6 Pm 3.57, 6 Tl 3.68

Summary:
energy relative to the elements = -2.30 eV/f.u.
total magnetic moment = 0.3429 μB/atom
crystal system = hexagonal


BaTiGaBi2: optimized geometry, PBE-GGA.

a b c (Å): 5.5232 5.5232 5.1677
angles (deg): 90.00 90.00 90.00
Closest atoms and distances in Å follow each position.
Atoms (fractional coordinates):
Bi 0.5000 0.0000 0.0000  2 Ti 2.76
Bi 0.0000 0.5000 0.0000  2 Ti 2.76
Ba 0.5000 0.5000 0.5000  8 Bi 3.78, 4 Ga 3.91
Ti 0.0000 0.0000 0.0000  2 Ga 2.58, 4 Bi 2.76
Ga 0.0000 0.0000 0.5000  2 Ti 2.58

Summary:
energy relative to the elements = -1.73 eV/f.u.
total magnetic moment = 0.0000 μB/atom
crystal system = tetragonal